Record 1
12
Lattice="-0.5363 3.4958 -2.2590 -1.7415 -5.1362 -7.5348 -6.9593 2.5459 5.5922" Properties=species:S:1:pos:R:3 comment="TlZn2Hg9, optimized geometry, DFT GGA-PBE" formation_enthalpy_0k_ev_per_atom=0.055 pbc="T T T"
Hg -2.9961 -1.9359 -6.1826
Hg -6.2410 2.8415 1.9810
Hg -3.4796 1.2730 2.7961
Hg -6.0083 -0.8339 -3.7621
Hg -2.2423 0.2872 -2.9213
Hg -3.2288 1.7395 -0.4395
Hg -4.3504 -1.2951 -0.9713
Hg -6.9947 0.6184 -1.2804
Hg -0.8707 -2.5681 -3.7674
Zn -5.2200 -0.0148 1.2165
Zn -3.4807 -2.5755 -3.1592
Tl 0.0000 0.0000 0.0000


Record 2
4
Lattice="-1.4938 -9.5549 2.0534 1.3568 -9.5517 2.1605 -0.1579 -8.8198 4.4642" Properties=species:S:1:pos:R:3 comment="YNiMo2, optimized geometry, DFT GGA-PBE" de_polymorph_mev_per_atom=517 formation_enthalpy_0k_ev_per_atom=0.634 pbc="T T T"
Ni -0.0737 -6.9816 2.1695
Y -0.2212 -20.9448 6.5085
Mo -0.2912 -27.5824 8.5712
Mo -0.1511 -14.3072 4.4459


Record 3
9
Lattice="4.6557 0.0008 0.0006 2.3277 4.0339 0.1520 -0.0019 -0.3099 8.5403" Properties=species:S:1:pos:R:3 comment="Li4Tl2Ag3, optimized geometry, DFT GGA-PBE" formation_enthalpy_0k_ev_per_atom=-0.189 pbc="T T T"
Li 4.6544 -0.2041 5.6561
Li 2.3276 1.3116 0.9570
Li 2.3271 3.9289 3.0367
Li 4.6539 2.4132 7.7359
Tl 4.6552 2.6212 1.9957
Tl 2.3263 1.1037 6.6972
Ag 2.3270 1.2102 3.7551
Ag 0.0000 0.0000 0.0000
Ag 4.6545 2.5146 4.9378


Record 4
4
Lattice="-7.6598 -4.4486 0.8094 -5.3566 -5.6477 4.3043 -1.6248 3.1945 2.1668" Properties=species:S:1:pos:R:3 comment="K2MoBr, optimized geometry, DFT GGA-PBE" de_polymorph_mev_per_atom=28 pbc="T T T"
Br -4.1783 0.6576 2.9792
K -1.4216 0.5669 1.1314
K -10.9517 -6.8232 4.8761
Mo -7.0349 -1.5594 4.1010